Compound: InSn2Ir2
Source: Alexandria
Functional: PBE
Structure: relaxed

abc: 6.6098 3.7742 8.9195
angles: 90.00 98.21 90.00
With the nearest neighbours (Å) after each atom.
Positions (direct):
In 0.0341 0.2500 0.3653  5 Ir 2.76-2.84
In 0.9659 0.7500 0.6347  5 Ir 2.76-2.84
Sn 0.1887 0.2500 0.9816  3 Ir 2.64-2.77
Sn 0.4061 0.2500 0.7136  4 Ir 2.65-2.81, 1 Sn 2.96
Sn 0.5939 0.7500 0.2864  4 Ir 2.65-2.81, 1 Sn 2.96
Sn 0.8113 0.7500 0.0184  3 Ir 2.64-2.77
Ir 0.1955 0.7500 0.1896  4 Sn 2.64-2.77, 2 In 2.76, 1 Ir 2.80
Ir 0.3245 0.7500 0.5026  3 Sn 2.67-2.81, 3 In 2.79-2.84, 1 Ir 2.80
Ir 0.6755 0.2500 0.4974  3 Sn 2.67-2.81, 3 In 2.79-2.84, 1 Ir 2.80
Ir 0.8045 0.2500 0.8104  4 Sn 2.64-2.77, 2 In 2.76, 1 Ir 2.80

Final energy in Ha/atom: -0.212
Crystal system: monoclinic
ρ in g/cm3: 11.11
Fermi-level density of states in states/eV/f.u.: 2.0